[1]
{"formula": "Sm5In", "functional": "PBE", "state": "relaxed", "e_above_lowest_polymorph_mev_per_atom": 0, "formation_energy_ev_per_atom": -0.153, "sg": "Cmmm, No. 65", "e_tot_ev_per_cell": -27.25, "lattice": [[-1.8839, 3.4298, -3.0358], [-0.5909, -3.4292, -3.5077], [-6.7674, 0.1994, 4.4250]], "species": ["Sm", "Sm", "In", "Sm", "Sm", "Sm"], "fractional_positions": [[0.0000, 0.3381, 0.6763], [0.5000, 0.5000, 0.0000], [0.0000, 0.0000, 0.0000], [0.0000, 0.6619, 0.3237], [0.5000, 0.8349, 0.6698], [0.5000, 0.1651, 0.3302]]}

=====

[2]
{"formula": "Sm2In9Sn", "functional": "PBE", "state": "relaxed", "formation_energy_ev_per_atom": -0.255, "sg": "P4/mmm, No. 123", "e_tot_ev_per_cell": -41.15, "lattice": [[4.6815, 0.0000, 0.0000], [0.0000, 4.6815, 0.0000], [0.0000, 0.0000, 14.3879]], "species": ["In", "In", "In", "In", "In", "Sm", "In", "Sn", "Sm", "In", "In", "In"], "fractional_positions": [[0.0000, 0.5000, 0.5000], [0.0000, 0.5000, 0.1687], [0.5000, 0.5000, 0.3371], [0.5000, 0.5000, 0.6629], [0.5000, 0.0000, 0.8313], [0.0000, 0.0000, 0.3380], [0.0000, 0.5000, 0.8313], [0.0000, 0.0000, 0.0000], [0.0000, 0.0000, 0.6620], [0.5000, 0.0000, 0.5000], [0.5000, 0.0000, 0.1687], [0.5000, 0.5000, 0.0000]]}

=====

[3]
{"formula": "SmInSn", "functional": "PBE", "state": "relaxed", "e_above_lowest_polymorph_mev_per_atom": 241, "formation_energy_ev_per_atom": -0.285, "sg": "I4mm, No. 107", "e_tot_ev_per_cell": -12.31, "lattice": [[4.3694, 0.0000, 0.0000], [0.0000, 4.3694, 0.0000], [-2.1847, -2.1847, 4.5678]], "species": ["In", "Sm", "Sn"], "fractional_positions": [[0.9442, 0.9442, 0.8884], [0.2815, 0.2815, 0.5630], [0.6243, 0.6243, 0.2486]]}

=====

[4]
{"formula": "SmIn3Sn2", "functional": "PBE", "state": "relaxed", "formation_energy_ev_per_atom": -0.213, "sg": "Cmmm, No. 65", "e_tot_ev_per_cell": -22.22, "lattice": [[4.3213, 0.0000, 0.0000], [0.0000, 4.7123, -1.5933], [0.0000, 0.0338, 7.8650]], "species": ["Sn", "Sm", "Sn", "In", "In", "In"], "fractional_positions": [[0.0000, 0.6593, 0.3185], [0.0000, 0.0000, 0.0000], [0.0000, 0.3407, 0.6815], [0.5000, 0.1750, 0.3500], [0.5000, 0.8250, 0.6500], [0.5000, 0.5000, 0.0000]]}

=====

[5]
{"formula": "Sm3InSn", "functional": "PBE", "state": "relaxed", "formation_energy_ev_per_atom": -0.463, "sg": "C2/c, No. 15", "e_tot_ev_per_cell": -92.85, "lattice": [[-2.4100, 8.4179, -0.2099], [-7.4768, 4.3992, -1.2073], [-3.3082, 1.5075, 10.7316]], "species": ["In", "Sm", "Sm", "Sm", "Sm", "Sm", "Sn", "Sn", "Sn", "Sm", "In", "In", "Sm", "Sm", "Sm", "In", "Sn", "Sm", "Sm", "Sm"], "fractional_positions": [[0.6175, 0.5520, 0.7933], [0.5485, 0.1596, 0.4594], [0.8127, 0.7828, 0.2385], [0.7252, 0.1637, 0.9767], [0.1596, 0.5485, 0.9594], [0.1637, 0.7252, 0.4767], [0.5000, 0.0000, 0.0000], [0.9144, 0.0856, 0.2500], [0.0856, 0.9144, 0.7500], [0.4515, 0.8404, 0.5406], [0.4480, 0.3825, 0.7067], [0.5520, 0.6175, 0.2933], [0.8363, 0.2748, 0.5233], [0.8404, 0.4515, 0.0406], [0.2748, 0.8363, 0.0233], [0.3825, 0.4480, 0.2067], [0.0000, 0.5000, 0.5000], [0.1873, 0.2172, 0.7615], [0.7828, 0.8127, 0.7385], [0.2172, 0.1873, 0.2615]]}

=====

[6]
{"formula": "Sm2In3Sn3", "functional": "PBE", "state": "relaxed", "formation_energy_ev_per_atom": -0.475, "sg": "Pmmm, No. 47", "e_tot_ev_per_cell": -33.46, "lattice": [[-2.8011, -2.3377, 2.8848], [3.6364, -3.0540, 1.0560], [2.5960, 5.5054, 6.9819]], "species": ["In", "Sn", "In", "Sm", "Sn", "Sn", "Sm", "In"], "fractional_positions": [[0.0000, 0.5000, 0.5000], [0.0000, 0.5000, 0.0000], [0.5000, 0.5000, 0.2539], [0.0000, 0.0000, 0.7512], [0.5000, 0.0000, 0.5000], [0.5000, 0.0000, 0.0000], [0.0000, 0.0000, 0.2488], [0.5000, 0.5000, 0.7461]]}

=====

[7]
{"formula": "SmIn2Sn3", "functional": "PBE", "state": "relaxed", "formation_energy_ev_per_atom": -0.256, "sg": "Cmmm, No. 65", "e_tot_ev_per_cell": -23.74, "lattice": [[-3.5732, -1.8314, 1.6234], [1.6140, -4.4241, -1.4385], [2.6753, 1.3182, 7.3755]], "species": ["Sn", "In", "In", "Sn", "Sm", "Sn"], "fractional_positions": [[0.5000, 0.8266, 0.6532], [0.0000, 0.3389, 0.6778], [0.0000, 0.6611, 0.3222], [0.5000, 0.5000, 0.0000], [0.0000, 0.0000, 0.0000], [0.5000, 0.1734, 0.3468]]}

=====

[8]
{"formula": "SmIn2Sn2", "functional": "PBE", "state": "relaxed", "formation_energy_ev_per_atom": -0.334, "sg": "Cmcm, No. 63", "e_tot_ev_per_cell": -39.74, "lattice": [[-2.4236, 1.5095, 3.4477], [0.7474, -3.8713, 2.2203], [12.1082, 4.4379, 3.6623]], "species": ["In", "Sn", "Sm", "Sm", "Sn", "Sn", "In", "In", "Sn", "In"], "fractional_positions": [[0.9514, 0.2500, 0.9028], [0.8558, 0.7500, 0.7115], [0.3464, 0.2500, 0.6928], [0.6536, 0.7500, 0.3072], [0.1442, 0.2500, 0.2885], [0.7502, 0.2500, 0.5003], [0.0486, 0.7500, 0.0972], [0.4481, 0.7500, 0.8961], [0.2498, 0.7500, 0.4997], [0.5519, 0.2500, 0.1039]]}

=====

[9]
{"formula": "Sm7In2Sn2", "functional": "PBE", "state": "relaxed", "formation_energy_ev_per_atom": -0.244, "sg": "Cmmm, No. 65", "e_tot_ev_per_cell": -49.20, "lattice": [[0.6129, 4.6163, -5.2590], [-4.5413, -4.4696, -4.4533], [-5.5820, 1.8392, 3.8473]], "species": ["Sn", "In", "Sm", "Sm", "Sm", "Sn", "Sm", "Sm", "Sm", "Sm", "In"], "fractional_positions": [[0.7097, 0.0000, 0.2903], [0.8273, 0.5000, 0.8273], [0.0002, 0.7131, 0.4997], [0.4998, 0.2683, 0.5002], [0.5002, 0.7317, 0.4998], [0.2903, 0.0000, 0.7097], [0.5003, 0.7131, 0.9998], [0.4997, 0.2869, 0.0002], [0.9998, 0.2869, 0.5003], [0.0000, 0.0000, 0.0000], [0.1727, 0.5000, 0.1727]]}

=====

[10]
{"formula": "Sm6In5Sn", "functional": "PBE", "state": "relaxed", "formation_energy_ev_per_atom": -0.513, "sg": "C2/m, No. 12", "e_tot_ev_per_cell": -52.17, "lattice": [[-0.4668, 3.5304, -4.1262], [-7.2917, -5.9343, -0.6465], [1.3940, 5.0926, 7.8054]], "species": ["In", "Sm", "Sm", "Sm", "Sn", "Sm", "Sm", "In", "Sm", "In", "In", "In"], "fractional_positions": [[0.5000, 0.8282, 0.1718], [0.2537, 0.7536, 0.7536], [0.2479, 0.0828, 0.4129], [0.7463, 0.2464, 0.2464], [0.0000, 0.0000, 0.0000], [0.7521, 0.5871, 0.9172], [0.2479, 0.4129, 0.0828], [0.0000, 0.6662, 0.3338], [0.7521, 0.9172, 0.5871], [0.0000, 0.3338, 0.6662], [0.5000, 0.1718, 0.8282], [0.5000, 0.5000, 0.5000]]}

=====

[11]
{"formula": "Sm12In6Sn", "functional": "PBE", "state": "relaxed", "formation_energy_ev_per_atom": -0.189, "sg": "R-3, No. 148", "e_tot_ev_per_cell": -80.66, "lattice": [[-7.4116, -4.9674, 0.6424], [5.2165, -2.0620, 6.9683], [-2.4278, 8.5609, 0.9146]], "species": ["Sm", "Sm", "In", "Sm", "Sm", "Sm", "Sm", "In", "In", "In", "Sm", "Sm", "Sm", "Sm", "Sn", "Sm", "Sm", "In", "In"], "fractional_positions": [[0.6880, 0.6073, 0.9353], [0.0342, 0.8815, 0.3452], [0.6438, 0.7446, 0.3367], [0.3452, 0.0342, 0.8815], [0.0647, 0.3120, 0.3927], [0.1185, 0.6548, 0.9658], [0.9353, 0.6880, 0.6073], [0.7446, 0.3367, 0.6438], [0.3562, 0.2554, 0.6633], [0.6633, 0.3562, 0.2554], [0.6548, 0.9658, 0.1185], [0.6073, 0.9353, 0.6880], [0.8815, 0.3452, 0.0342], [0.3927, 0.0647, 0.3120], [0.0000, 0.0000, 0.0000], [0.3120, 0.3927, 0.0647], [0.9658, 0.1185, 0.6548], [0.2554, 0.6633, 0.3562], [0.3367, 0.6438, 0.7446]]}

=====

[12]
{"formula": "Sm2InSn4", "functional": "PBE", "state": "relaxed", "e_above_lowest_polymorph_mev_per_atom": 32, "formation_energy_ev_per_atom": -0.420, "sg": "P-4m2, No. 115", "e_tot_ev_per_cell": -31.13, "lattice": [[-0.8069, 4.2795, -1.0581], [-4.3550, -0.9406, -0.4833], [-1.5199, 2.0927, 9.6229]], "species": ["Sm", "Sn", "Sn", "In", "Sn", "Sm", "Sn"], "fractional_positions": [[0.5000, 0.0000, 0.7512], [0.0000, 0.0000, 0.5000], [0.5000, 0.5000, 0.5000], [0.5000, 0.5000, 0.0000], [0.0000, 0.5000, 0.8034], [0.0000, 0.5000, 0.2488], [0.5000, 0.0000, 0.1966]]}

=====

[13]
{"formula": "SmInSn", "functional": "PBE", "state": "relaxed", "e_above_lowest_polymorph_mev_per_atom": 152, "formation_energy_ev_per_atom": -0.373, "sg": "P4/nmm, No. 129", "e_tot_ev_per_cell": -25.16, "lattice": [[-3.9006, -1.1557, 2.0041], [-1.4478, -1.8449, -3.8816], [3.2419, -7.1473, 2.1879]], "species": ["Sm", "Sn", "In", "Sn", "In", "Sm"], "fractional_positions": [[0.3364, 0.8364, 0.8079], [0.8365, 0.8365, 0.5000], [0.3364, 0.8364, 0.1915], [0.3365, 0.3365, 0.5000], [0.8364, 0.3364, 0.8085], [0.8364, 0.3364, 0.1921]]}

=====

[14]
{"formula": "SmInSn", "functional": "PBE", "state": "relaxed", "e_above_lowest_polymorph_mev_per_atom": 141, "formation_energy_ev_per_atom": -0.384, "sg": "Cmcm, No. 63", "e_tot_ev_per_cell": -25.23, "lattice": [[-0.6045, 2.0197, -5.6638], [4.9507, -3.6701, -1.8371], [-2.4024, -4.2282, 1.9729]], "species": ["Sn", "In", "In", "Sm", "Sm", "Sn"], "fractional_positions": [[0.0000, 0.5000, 0.5000], [0.6902, 0.2500, 0.8804], [0.3098, 0.7500, 0.1196], [0.6741, 0.7500, 0.8482], [0.3259, 0.2500, 0.1518], [0.0000, 0.0000, 0.5000]]}

=====

[15]
{"formula": "Sm6In2Sn", "functional": "PBE", "state": "relaxed", "formation_energy_ev_per_atom": -0.208, "sg": "Immm, No. 71", "e_tot_ev_per_cell": -39.67, "lattice": [[5.2814, 0.0000, -0.2020], [0.0000, 7.4393, 0.0000], [-2.3373, -3.7197, 8.0182]], "species": ["Sm", "Sm", "Sm", "In", "Sm", "In", "Sm", "Sn", "Sm"], "fractional_positions": [[0.1671, 0.9163, 0.3351], [0.5000, 0.7486, 0.0000], [0.8329, 0.0837, 0.6649], [0.3343, 0.3338, 0.6676], [0.5000, 0.2514, 0.0000], [0.6657, 0.6662, 0.3324], [0.1671, 0.4188, 0.3351], [0.0000, 0.0000, 0.0000], [0.8329, 0.5812, 0.6649]]}

=====

[16]
{"formula": "Sm8In2Sn", "functional": "PBE", "state": "relaxed", "formation_energy_ev_per_atom": -0.275, "sg": "C2/m, No. 12", "e_tot_ev_per_cell": -50.26, "lattice": [[-1.4109, 4.1571, 2.9341], [2.9288, -2.9876, 5.6413], [7.9211, 3.0885, -5.3181]], "species": ["Sm", "Sm", "In", "In", "Sm", "Sm", "Sm", "Sm", "Sm", "Sm", "Sn"], "fractional_positions": [[0.2074, 0.3063, 0.4148], [0.5926, 0.4658, 0.1851], [0.8167, 0.2565, 0.6334], [0.1833, 0.7435, 0.3666], [0.7926, 0.6937, 0.5852], [0.9818, 0.2391, 0.9636], [0.3412, 0.0235, 0.6824], [0.0182, 0.7609, 0.0364], [0.6588, 0.9765, 0.3176], [0.4074, 0.5342, 0.8149], [0.5000, 0.0000, 0.0000]]}

=====

[17]
{"formula": "SmInSn2", "functional": "PBE", "state": "relaxed", "formation_energy_ev_per_atom": -0.481, "sg": "P4/mmm, No. 123", "e_tot_ev_per_cell": -17.39, "lattice": [[4.7580, 0.0000, 0.0000], [0.0000, 4.7159, 0.0000], [0.0000, 0.0000, 4.7159]], "species": ["In", "Sm", "Sn", "Sn"], "fractional_positions": [[0.5000, 0.0000, 0.0000], [0.5000, 0.5000, 0.5000], [0.0000, 0.0000, 0.5000], [0.0000, 0.5000, 0.0000]]}

=====

[18]
{"formula": "Sm3In2Sn", "functional": "PBE", "state": "relaxed", "e_above_lowest_polymorph_mev_per_atom": 0, "formation_energy_ev_per_atom": -0.554, "sg": "Cmmm, No. 65", "e_tot_ev_per_cell": -53.92, "lattice": [[-2.7379, -1.9486, -2.7959], [0.6559, -4.3878, 2.4157], [-11.6610, 3.2836, 9.1303]], "species": ["Sn", "In", "In", "Sm", "In", "Sm", "Sm", "Sm", "In", "Sm", "Sm", "Sn"], "fractional_positions": [[0.0003, 0.0000, 0.0000], [0.9999, 0.0000, 0.3290], [0.9999, 0.0000, 0.6710], [0.5002, 0.0000, 0.1647], [0.0001, 0.5000, 0.8290], [0.5002, 0.0000, 0.8353], [0.5005, 0.5000, 0.0000], [0.4998, 0.5000, 0.6647], [0.0001, 0.5000, 0.1710], [0.4998, 0.5000, 0.3353], [0.4995, 0.0000, 0.5000], [0.9997, 0.5000, 0.5000]]}

=====

[19]
{"formula": "Sm2In2Sn3", "functional": "PBE", "state": "relaxed", "formation_energy_ev_per_atom": -0.438, "sg": "C2/m, No. 12", "e_tot_ev_per_cell": -29.99, "lattice": [[-3.2555, -0.5274, 3.4887], [-4.1658, -3.5254, -4.4203], [4.5858, -4.1329, 0.3513]], "species": ["Sn", "In", "In", "Sm", "Sn", "Sn", "Sm"], "fractional_positions": [[0.0000, 0.5000, 0.0000], [0.8818, 0.8984, 0.7636], [0.1182, 0.1016, 0.2364], [0.5949, 0.7780, 0.1898], [0.7068, 0.3373, 0.4136], [0.2932, 0.6627, 0.5864], [0.4051, 0.2220, 0.8102]]}

=====

[20]
{"formula": "SmIn4Sn", "functional": "PBE", "state": "relaxed", "e_above_lowest_polymorph_mev_per_atom": 42, "formation_energy_ev_per_atom": -0.079, "sg": "P4/mmm, No. 123", "e_tot_ev_per_cell": -20.15, "lattice": [[4.4636, 0.0001, -0.0016], [0.0000, 4.4631, -0.0022], [0.0033, 0.0050, 9.1208]], "species": ["In", "Sm", "Sn", "In", "In", "In"], "fractional_positions": [[0.5013, 0.9973, 0.2602], [0.5013, 0.4973, 0.9981], [0.0013, 0.9973, 0.4982], [0.0013, 0.4973, 0.7361], [0.5013, 0.9973, 0.7361], [0.0013, 0.4973, 0.2602]]}